Tb2PmPd | GGA-PBE | optimized geometry

Values from the calculation:
- Energy: -5.253 eV per atom
- Magnetic moment: 0.00 μB/f.u.
- Distance to the lowest polymorph of the same formula: 0.000 eV/atom
- Formation energy from the elements: -174.3 kJ/mol of formula units

Cell and atoms, written as CIF:
```
data_Tb2PmPd
_chemical_formula_sum 'Tb8 Pm4 Pd4'
_symmetry_space_group_name_H-M 'P n m a'
_symmetry_Int_Tables_number 62
_symmetry_space_group_name_Hall '-P 2ac 2n'
_cell_length_a 7.116
_cell_length_b 9.788
_cell_length_c 6.545
_cell_angle_alpha 90.00
_cell_angle_beta 90.00
_cell_angle_gamma 90.00
loop_
_atom_site_label
_atom_site_type_symbol
_atom_site_fract_x
_atom_site_fract_y
_atom_site_fract_z
Tb1 Tb 0.180 0.060 0.171
Pm1 Pm 0.021 0.250 0.635
Pd1 Pd 0.113 0.750 0.928
```